Entry 1:
Crystalline In2Fe2B at its relaxed geometry. Source: the Alexandria database, functional GGA-PBE.

Summary:
ΔE to the lowest computed polymorph: 0.00 eV per formula unit
VASP energy: -5.525 eV/atom

Cell: 5.650 5.650 4.443 Å, 90.00 90.00 90.00°
Site moments in Bohr magnetons follow the coordinates.
Atoms (fractional coordinates):
B  0.000  0.000  0.000  -0.13
B  0.500  0.500  0.000  -0.13
Fe  0.344  0.844  0.000  1.47
Fe  0.844  0.656  0.000  1.42
Fe  0.656  0.156  0.000  1.47
Fe  0.156  0.344  0.000  1.42
In  0.172  0.672  0.500  -0.04
In  0.672  0.828  0.500  -0.04
In  0.828  0.328  0.500  -0.04
In  0.328  0.172  0.500  -0.04

Entry 2:
Crystalline RbTlTe2I at its relaxed geometry. Source: the Alexandria database, functional GGA-PBE.

Summary:
ΔE to the lowest computed polymorph: 0.00 eV per formula unit
Formation energy (no corrections): -1.39 eV per formula unit
VASP energy: -2.511 eV/atom

Cell: 5.842 5.842 6.647 Å, 90.00 90.00 90.00°
Site moments in Bohr magnetons follow the coordinates.
Atoms (fractional coordinates):
I  0.000  0.000  0.500  0.05
Tl  0.000  0.000  0.000  0.01
Te  0.000  0.500  0.000  0.18
Te  0.500  0.000  0.000  0.18
Rb  0.500  0.500  0.500  0.00

Entry 3:
Crystalline SrThZnGa at its relaxed geometry. Source: the Alexandria database, functional GGA-PBE.

Summary:
VASP energy: -3.527 eV/atom

Cell: 5.320 5.320 5.320 Å, 60.00 60.00 60.00°
Atoms (fractional coordinates):
Sr  0.500  0.500  0.500
Zn  0.750  0.750  0.750
Ga  0.250  0.250  0.250
Th  0.000  0.000  0.000

Which value of VASP energy does entry 1 give?
-5.525 eV/atom

Which value of VASP energy does entry 1 give?
-5.525 eV/atom